1.
Material: Tb2VP
Method: DFT, PBE
State: relaxed Values from VASP.

Energy of formation   1.90 kJ/mol of atoms
Total magnetization   3.40 μB per formula unit

Quantum ESPRESSO input file:
```
&SYSTEM
  ibrav = 0, nat = 4, ntyp = 3
/
ATOMIC_SPECIES
P 30.97 P.upf
Tb 158.93 Tb.upf
V 50.94 V.upf
ATOMIC_POSITIONS crystal
P 0.500 0.500 0.500
Tb 0.106 0.106 0.682
Tb 0.894 0.894 0.318
V 0.000 0.000 0.000
CELL_PARAMETERS angstrom
3.691 0.000 0.000
1.845 3.196 0.000
1.845 1.065 9.223
```

2.
Material: TbY2P3
Method: DFT, PBE
State: relaxed Values from VASP.

Energy of formation   -156.69 kJ/mol of atoms
Total magnetization   0.00 μB per formula unit

Quantum ESPRESSO input file:
```
&SYSTEM
  ibrav = 0, nat = 6, ntyp = 3
/
ATOMIC_SPECIES
Tb 158.93 Tb.upf
Y 88.91 Y.upf
P 30.97 P.upf
ATOMIC_POSITIONS crystal
Tb 0.500 0.500 0.500
Y 0.833 0.833 0.167
Y 0.167 0.167 0.833
P 0.833 0.333 0.166
P 0.167 0.667 0.834
P 0.500 0.000 0.500
CELL_PARAMETERS angstrom
3.850 0.000 -1.165
-0.704 5.136 -2.325
0.005 0.009 6.959
```

3.
Material: TbYP2
Method: DFT, PBE
State: relaxed Values from VASP.

Energy of formation   -139.88 kJ/mol of atoms
Offset from the most stable computed form   172.0 meV per atom
Total magnetization   0.00 μB per formula unit

Quantum ESPRESSO input file:
```
&SYSTEM
  ibrav = 0, nat = 4, ntyp = 3
/
ATOMIC_SPECIES
Tb 158.93 Tb.upf
Y 88.91 Y.upf
P 30.97 P.upf
ATOMIC_POSITIONS crystal
Tb 0.669 0.669 0.992
Y 0.498 0.498 0.507
P 0.082 0.082 0.753
P 0.251 0.251 0.248
CELL_PARAMETERS angstrom
-0.629 -3.813 0.964
2.606 -2.794 -1.124
4.135 -1.304 5.770
```

4.
Material: TbYP2
Method: DFT, PBE
State: relaxed Values from VASP.

Energy of formation   -156.48 kJ/mol of atoms
Offset from the most stable computed form   0.0 meV per atom
Total magnetization   0.00 μB per formula unit

Quantum ESPRESSO input file:
```
&SYSTEM
  ibrav = 0, nat = 16, ntyp = 3
/
ATOMIC_SPECIES
Tb 158.93 Tb.upf
Y 88.91 Y.upf
P 30.97 P.upf
ATOMIC_POSITIONS crystal
Tb 0.313 0.063 0.625
Tb 0.562 0.312 0.125
Tb 0.687 0.937 0.375
Tb 0.438 0.688 0.875
Y 0.937 0.187 0.875
Y 0.063 0.813 0.125
Y 0.188 0.438 0.375
Y 0.812 0.562 0.625
P 0.688 0.438 0.875
P 0.187 0.937 0.875
P 0.312 0.562 0.125
P 0.813 0.063 0.125
P 0.938 0.687 0.375
P 0.563 0.812 0.625
P 0.062 0.313 0.625
P 0.437 0.188 0.375
CELL_PARAMETERS angstrom
-2.214 0.407 -6.591
-5.265 -1.996 4.098
1.719 8.492 2.400
```

5.
Material: TbYP2
Method: DFT, PBE
State: relaxed Values from VASP.

Energy of formation   -156.41 kJ/mol of atoms
Offset from the most stable computed form   0.7 meV per atom
Total magnetization   0.00 μB per formula unit

Quantum ESPRESSO input file:
```
&SYSTEM
  ibrav = 0, nat = 4, ntyp = 3
/
ATOMIC_SPECIES
Tb 158.93 Tb.upf
Y 88.91 Y.upf
P 30.97 P.upf
ATOMIC_POSITIONS crystal
Tb 0.000 0.000 0.000
Y 0.500 0.500 0.500
P 0.750 0.750 0.749
P 0.250 0.250 0.251
CELL_PARAMETERS angstrom
-3.615 -1.322 -1.169
-1.333 -3.581 1.256
-4.388 1.219 5.265
```

6.
Material: Tb3YP4
Method: DFT, PBE
State: relaxed Values from VASP.

Energy of formation   -156.03 kJ/mol of atoms
Total magnetization   0.00 μB per formula unit

Quantum ESPRESSO input file:
```
&SYSTEM
  ibrav = 0, nat = 8, ntyp = 3
/
ATOMIC_SPECIES
Tb 158.93 Tb.upf
Y 88.91 Y.upf
P 30.97 P.upf
ATOMIC_POSITIONS crystal
Tb 0.000 0.000 0.500
Tb 0.500 0.500 0.500
Tb 0.000 0.500 0.000
Y 0.500 0.000 0.000
P 0.000 0.250 0.250
P 0.500 0.750 0.250
P 0.000 0.750 0.750
P 0.500 0.250 0.750
CELL_PARAMETERS angstrom
-2.768 2.347 -1.743
-4.061 -5.567 -1.046
-1.493 2.834 6.190
```

7.
Material: Tb2YP3
Method: DFT, PBE
State: relaxed Values from VASP.

Energy of formation   -156.20 kJ/mol of atoms
Total magnetization   0.00 μB per formula unit

Quantum ESPRESSO input file:
```
&SYSTEM
  ibrav = 0, nat = 24, ntyp = 3
/
ATOMIC_SPECIES
Tb 158.93 Tb.upf
Y 88.91 Y.upf
P 30.97 P.upf
ATOMIC_POSITIONS crystal
Tb 0.250 0.875 0.750
Tb 0.250 0.375 0.750
Tb 0.250 0.875 0.417
Tb 0.250 0.375 0.083
Tb 0.750 0.625 0.917
Tb 0.750 0.125 0.583
Tb 0.750 0.625 0.250
Tb 0.750 0.125 0.250
Y 0.250 0.875 0.083
Y 0.250 0.375 0.417
Y 0.750 0.625 0.583
Y 0.750 0.125 0.917
P 0.250 0.625 0.583
P 0.250 0.125 0.917
P 0.250 0.625 0.917
P 0.250 0.125 0.583
P 0.250 0.625 0.250
P 0.250 0.125 0.250
P 0.750 0.875 0.750
P 0.750 0.375 0.750
P 0.750 0.875 0.417
P 0.750 0.375 0.083
P 0.750 0.875 0.083
P 0.750 0.375 0.417
CELL_PARAMETERS angstrom
-4.717 2.983 1.098
-4.043 -4.421 -5.356
-2.942 -7.854 8.702
```

8.
Material: Tb3Y5P8
Method: DFT, PBE
State: relaxed Values from VASP.

Energy of formation   -156.57 kJ/mol of atoms
Total magnetization   0.00 μB per formula unit

Quantum ESPRESSO input file:
```
&SYSTEM
  ibrav = 0, nat = 16, ntyp = 3
/
ATOMIC_SPECIES
Tb 158.93 Tb.upf
Y 88.91 Y.upf
P 30.97 P.upf
ATOMIC_POSITIONS crystal
Tb 0.500 0.000 0.500
Tb 0.000 0.000 0.500
Tb 0.000 0.500 0.500
Y 0.500 0.000 0.000
Y 0.500 0.500 0.000
Y 0.000 0.000 0.000
Y 0.000 0.500 0.000
Y 0.500 0.500 0.500
P 0.250 0.250 0.750
P 0.250 0.750 0.750
P 0.750 0.250 0.750
P 0.750 0.750 0.751
P 0.750 0.750 0.250
P 0.750 0.250 0.250
P 0.250 0.750 0.250
P 0.250 0.250 0.249
CELL_PARAMETERS angstrom
6.975 0.000 3.995
2.343 6.569 3.995
0.027 0.019 8.038
```

9.
Material: TbY2ZrP4
Method: DFT, PBE
State: relaxed Values from VASP.

Energy of formation   -149.94 kJ/mol of atoms
Total magnetization   0.00 μB per formula unit

Quantum ESPRESSO input file:
```
&SYSTEM
  ibrav = 0, nat = 8, ntyp = 4
/
ATOMIC_SPECIES
Tb 158.93 Tb.upf
Y 88.91 Y.upf
Zr 91.22 Zr.upf
P 30.97 P.upf
ATOMIC_POSITIONS crystal
Tb 0.500 0.500 0.000
Y 0.500 0.000 0.500
Y 0.000 0.500 0.500
Zr 0.000 0.000 0.000
P 0.500 0.239 0.239
P 0.500 0.761 0.761
P 0.000 0.243 0.756
P 0.000 0.757 0.244
CELL_PARAMETERS angstrom
3.935 0.000 0.000
0.000 6.822 0.130
0.000 -2.374 6.396
```

10.
Material: TbZn3P3
Method: DFT, PBE
State: relaxed Values from VASP.

Energy of formation   -58.17 kJ/mol of atoms
Total magnetization   0.00 μB per formula unit

Quantum ESPRESSO input file:
```
&SYSTEM
  ibrav = 0, nat = 14, ntyp = 3
/
ATOMIC_SPECIES
Tb 158.93 Tb.upf
Zn 65.41 Zn.upf
P 30.97 P.upf
ATOMIC_POSITIONS crystal
Tb 0.000 0.000 0.000
Tb 0.000 0.000 0.500
Zn 0.333 0.667 0.750
Zn 0.667 0.333 0.250
Zn 0.333 0.667 0.128
Zn 0.667 0.333 0.872
Zn 0.667 0.333 0.628
Zn 0.333 0.667 0.372
P 0.333 0.667 0.584
P 0.667 0.333 0.416
P 0.667 0.333 0.084
P 0.333 0.667 0.916
P 0.333 0.667 0.250
P 0.667 0.333 0.750
CELL_PARAMETERS angstrom
4.008 0.000 0.000
-2.004 3.471 0.000
0.000 0.000 19.870
```

11.
Material: TbZnP2
Method: DFT, PBE
State: relaxed Values from VASP.

Energy of formation   -50.75 kJ/mol of atoms
Total magnetization   0.00 μB per formula unit

Quantum ESPRESSO input file:
```
&SYSTEM
  ibrav = 0, nat = 4, ntyp = 3
/
ATOMIC_SPECIES
P 30.97 P.upf
Zn 65.41 Zn.upf
Tb 158.93 Tb.upf
ATOMIC_POSITIONS crystal
P 0.259 0.259 0.224
P 0.741 0.741 0.776
Zn 0.000 0.000 0.000
Tb 0.500 0.500 0.500
CELL_PARAMETERS angstrom
-2.792 0.283 2.773
0.941 -0.472 3.802
0.435 5.770 2.656
```

12.
Material: Tb2ZnP
Method: DFT, PBE
State: relaxed Values from VASP.

Energy of formation   -78.38 kJ/mol of atoms
Offset from the most stable computed form   56.0 meV per atom
Total magnetization   0.00 μB per formula unit

Quantum ESPRESSO input file:
```
&SYSTEM
  ibrav = 0, nat = 4, ntyp = 3
/
ATOMIC_SPECIES
Tb 158.93 Tb.upf
Zn 65.41 Zn.upf
P 30.97 P.upf
ATOMIC_POSITIONS crystal
Tb 0.072 0.072 0.784
Tb 0.262 0.262 0.214
Zn 0.499 0.499 0.502
P 0.667 0.667 0.000
CELL_PARAMETERS angstrom
3.970 0.000 0.000
1.985 3.438 0.000
1.985 1.146 7.266
```